Entry 1:
# Hf2VS

A geometry-optimized Hf2VS structure (PBE, Alexandria via LeMat-Bulk).

Output
For the formation energy from raw total energies, the calculation gives -0.010 eV per atom.

Cell lengths 3.132, 3.132, 9.126 Å; angles 80.12, 80.12, 60.00 degrees
Positions (direct):
S  0.500  0.500  0.500
Hf  0.097  0.097  0.708
Hf  0.903  0.903  0.292
V  0.000  0.000  0.000

Entry 2:
# Ba3TlHg4

A geometry-optimized Ba3TlHg4 structure (PBE, Alexandria via LeMat-Bulk).

Output
For the total energy, the calculation gives -1.615 eV per atom.

Cell lengths 5.788, 5.788, 10.154 Å; angles 73.44, 73.44, 60.00 degrees
Positions (direct):
Tl  0.000  0.000  0.000
Ba  0.258  0.258  0.225
Ba  0.742  0.742  0.775
Ba  0.500  0.500  0.500
Hg  0.873  0.873  0.381
Hg  0.378  0.378  0.866
Hg  0.127  0.127  0.619
Hg  0.622  0.622  0.134